Computed, not measured: Pm12Rh6Pb after structural relaxation at the PBE level of DFT. Values from VASP.

Formation energy from the elements ... -0.50 eV/atom
Polymorph energy (0 for the lowest one) ... 54 meV/atom

Quantum ESPRESSO input file:
```
&SYSTEM
  ibrav = 0, nat = 19, ntyp = 3
/
ATOMIC_SPECIES
Rh 102.91 Rh.upf
Pm 145.00 Pm.upf
Pb 207.20 Pb.upf
ATOMIC_POSITIONS angstrom
Rh 0.626 -0.044 4.711
Rh -0.139 4.526 1.444
Rh 4.544 0.607 4.705
Rh 3.780 5.177 1.438
Pm 4.904 3.032 2.993
Pm 2.773 -0.079 2.631
Pm 6.681 2.007 -0.888
Pb 0.000 0.000 0.000
Pm -2.231 6.417 1.816
Pm -0.498 2.101 3.155
Pm 1.632 5.211 3.518
Pm 2.152 3.136 0.393
Rh -0.089 3.810 5.351
Pm -2.276 3.125 7.037
Rh 4.494 1.322 0.798
Pm 2.253 1.997 5.756
Pm 0.971 -2.108 6.638
Pm 6.637 -1.284 4.333
Pm 3.434 7.241 -0.490
CELL_PARAMETERS angstrom
8.715 -0.844 -1.010
-2.155 8.487 -1.010
-2.155 -2.511 8.170
```

=====

Computed, not measured: BaCaS2Cl after structural relaxation at the PBE level of DFT. Values from VASP.

ΔE_f (raw) ... -8.17 eV/f.u.
Polymorph energy (0 for the lowest one) ... 0 meV/atom

Quantum ESPRESSO input file:
```
&SYSTEM
  ibrav = 0, nat = 5, ntyp = 4
/
ATOMIC_SPECIES
Ba 137.33 Ba.upf
S 32.06 S.upf
Ca 40.08 Ca.upf
Cl 35.45 Cl.upf
ATOMIC_POSITIONS angstrom
Ba 2.637 2.637 2.650
S 2.637 0.000 0.000
Ca 0.000 0.000 0.000
S 0.000 2.637 0.000
Cl 0.000 0.000 2.650
CELL_PARAMETERS angstrom
5.274 0.000 0.000
0.000 5.274 0.000
0.000 0.000 5.301
```

=====

Computed, not measured: MgPb2N after structural relaxation at the PBE level of DFT. Values from VASP.

ΔE_f (raw) ... 3.89 eV/f.u.
Polymorph energy (0 for the lowest one) ... 462 meV/atom

Quantum ESPRESSO input file:
```
&SYSTEM
  ibrav = 0, nat = 4, ntyp = 3
/
ATOMIC_SPECIES
Pb 207.20 Pb.upf
N 14.01 N.upf
Mg 24.30 Mg.upf
ATOMIC_POSITIONS angstrom
Pb -0.806 -2.704 1.169
Pb -2.417 -8.112 3.506
N 0.000 0.000 0.000
Mg -1.611 -5.408 2.337
CELL_PARAMETERS angstrom
1.135 -3.468 3.399
-3.636 -2.522 2.300
-0.721 -4.827 -1.025
```

=====

Computed, not measured: Mn2AgCl after structural relaxation at the PBE level of DFT. Values from VASP.

ΔE_f (raw) ... 1.39 eV/f.u.
Polymorph energy (0 for the lowest one) ... 240 meV/atom

Quantum ESPRESSO input file:
```
&SYSTEM
  ibrav = 0, nat = 4, ntyp = 3
/
ATOMIC_SPECIES
Mn 54.94 Mn.upf
Ag 107.87 Ag.upf
Cl 35.45 Cl.upf
ATOMIC_POSITIONS angstrom
Mn 0.000 0.000 0.000
Mn 0.000 2.424 2.424
Ag 1.510 2.424 0.000
Cl 1.510 0.000 2.424
CELL_PARAMETERS angstrom
3.020 0.000 0.000
0.000 4.847 0.000
0.000 0.000 4.847
```

=====

Computed, not measured: NbPHS2 after structural relaxation at the PBE level of DFT. Values from VASP.

Polymorph energy (0 for the lowest one) ... 0 meV/atom

Quantum ESPRESSO input file:
```
&SYSTEM
  ibrav = 0, nat = 5, ntyp = 4
/
ATOMIC_SPECIES
H 1.01 H.upf
S 32.06 S.upf
Nb 92.91 Nb.upf
P 30.97 P.upf
ATOMIC_POSITIONS angstrom
H 0.000 0.000 0.000
S 0.000 2.246 0.000
Nb 2.246 2.246 1.594
P 0.000 0.000 1.594
S 2.246 0.000 0.000
CELL_PARAMETERS angstrom
4.492 0.000 0.000
0.000 4.492 0.000
0.000 0.000 3.187
```

=====

Computed, not measured: Ce2Th2N5 after structural relaxation at the PBE level of DFT. Values from VASP.

ΔE_f (raw) ... -12.61 eV/f.u.

Quantum ESPRESSO input file:
```
&SYSTEM
  ibrav = 0, nat = 18, ntyp = 3
/
ATOMIC_SPECIES
Ce 140.12 Ce.upf
N 14.01 N.upf
Th 232.04 Th.upf
ATOMIC_POSITIONS angstrom
Ce 4.450 5.629 0.000
N 4.392 1.139 1.706
Ce 1.093 4.428 0.000
N 5.680 1.139 4.442
N 2.322 5.565 1.706
Th 3.357 3.352 2.460
Th 0.000 3.352 3.688
Ce 2.264 1.076 0.000
N 2.322 2.213 4.442
N 4.392 -2.213 4.442
Th 3.357 0.000 3.688
Th 0.000 0.000 2.460
N 0.000 0.000 0.000
N 5.680 4.491 1.706
N 1.035 2.213 1.706
N 1.035 -1.139 4.442
N 3.357 3.352 0.000
Ce 5.622 2.277 0.000
CELL_PARAMETERS angstrom
6.714 0.000 0.000
0.000 6.704 0.000
0.000 -3.352 6.148
```

=====

| no. | V (Å³/cell) |
| --- | --- |
| 1 | 541.53 |
| 2 | 147.46 |
| 3 | 87.71 |
| 4 | 70.96 |
| 5 | 64.31 |
| 6 | 276.77 |